Density functional theory data (GGA-PBE) for PmP2Rh5Au after structural relaxation.

a b c (Å): 4.014 4.014 10.332
angles (deg): 90.00 90.00 90.00
Sites, in units of the cell vectors:
Pm (0.000, 0.000, 0.500)
Rh (0.500, 0.000, 0.179)
Rh (0.500, 0.500, 0.500)
Rh (0.000, 0.500, 0.821)
Rh (0.500, 0.000, 0.821)
Rh (0.000, 0.500, 0.179)
P (0.500, 0.500, 0.281)
P (0.500, 0.500, 0.719)
Au (0.000, 0.000, 0.000)

Properties
spin magnetization	0.00	μB/cell
calculated formation energy	-42.85	kJ/mol of atoms

=====

Density functional theory data (GGA-PBE) for Pm2P3Rh12Au after structural relaxation.

a b c (Å): 7.053 7.053 7.053
angles (deg): 74.07 74.07 74.07
Sites, in units of the cell vectors:
Rh (0.667, 0.667, 0.085)
Rh (0.667, 0.085, 0.667)
Rh (0.085, 0.667, 0.667)
Rh (0.152, 0.631, 0.152)
Rh (0.333, 0.915, 0.333)
Rh (0.631, 0.152, 0.152)
Rh (0.848, 0.369, 0.848)
Rh (0.333, 0.333, 0.915)
Rh (0.915, 0.333, 0.333)
Rh (0.848, 0.848, 0.369)
Rh (0.152, 0.152, 0.631)
Rh (0.369, 0.848, 0.848)
P (0.500, 0.000, 0.000)
P (0.000, 0.500, 0.000)
P (0.000, 0.000, 0.500)
Pm (0.396, 0.396, 0.396)
Pm (0.604, 0.604, 0.604)
Au (0.000, 0.000, 0.000)

Properties
spin magnetization	0.00	μB/cell
calculated formation energy	-14.54	kJ/mol of atoms

=====

Among the records above, which one has the lowest calculated formation energy? PmP2Rh5Au

=====

What is the calculated formation energy in the first record? -42.85 kJ/mol of atoms

=====

Which of these has the lowest calculated formation energy? PmP2Rh5Au

=====

What is the formula in the first record? PmP2Rh5Au